A plane-wave DFT calculation with PBE-GGA was carried out for an optimized crystal structure of ReSn2Hg.

a b c (Å): 9.948 9.948 9.948
angles (deg): 154.61 154.61 36.22
Atoms (fractional coordinates):
Re: 0.000 0.000 0.000
Re: 0.750 0.250 0.500
Sn: 0.107 0.625 0.982
Sn: 0.375 0.357 0.482
Sn: 0.643 0.125 0.018
Sn: 0.875 0.893 0.518
Hg: 0.250 0.750 0.500
Hg: 0.500 0.500 0.000

Summary:
- Calculated formation energy: 862 meV/atom
- Total moment: 0.0 μB per formula unit
- DOS at the Fermi energy: 1.58 states/eV/atom

***

A plane-wave DFT calculation with PBE-GGA was carried out for an optimized crystal structure of Re2SnHg.

a b c (Å): 4.625 4.625 4.625
angles (deg): 60.00 60.00 60.00
Atoms (fractional coordinates):
Re: 0.250 0.250 0.250
Re: 0.750 0.750 0.750
Sn: 0.000 0.000 0.000
Hg: 0.500 0.500 0.500

Summary:
- Calculated formation energy: 993 meV/atom
- Total moment: 0.0 μB per formula unit
- DOS at the Fermi energy: 1.38 states/eV/atom
- Distance to the lowest polymorph of the same formula: 0.000 eV/atom

***

A plane-wave DFT calculation with PBE-GGA was carried out for an optimized crystal structure of ReSnHg3.

a b c (Å): 5.263 5.263 5.263
angles (deg): 90.00 90.00 90.00
Atoms (fractional coordinates):
Re: 0.000 0.000 0.000
Sn: 0.500 0.500 0.500
Hg: 0.000 0.000 0.500
Hg: 0.000 0.500 0.000
Hg: 0.500 0.000 0.000

Summary:
- Calculated formation energy: 939 meV/atom
- Total moment: 0.7 μB per formula unit
- DOS at the Fermi energy: 0.58 states/eV/atom
- Distance to the lowest polymorph of the same formula: 0.000 eV/atom